No. 1
This record from Alexandria via LeMat-Bulk describes a relaxed structure of Sc12H5Pd3. The functional is PBE.

Unit cell a=12.1752 b=12.1752 c=12.1752 alpha=109.47 beta=109.47 gamma=109.47
With the nearest neighbours (Å) after each atom.
Positions (direct):
Sc 0.0183 0.2107 0.1141  1 H 1.99
Sc 0.0183 0.3076 0.9042  1 H 1.99
Sc 0.0958 0.6141 0.4033  1 H 1.99
Sc 0.0958 0.9817 0.6924  1 H 1.99
Sc 0.0967 0.7107 0.6924  1 H 1.99
Sc 0.0967 0.8859 0.4042  1 H 1.99
Sc 0.1141 0.0183 0.2107  1 H 1.99
Sc 0.1141 0.5958 0.9033  1 H 1.99
Sc 0.1924 0.2107 0.5967  1 H 1.99
Sc 0.1924 0.4817 0.5958  1 H 1.99
Sc 0.2107 0.1141 0.0183  1 H 1.99
Sc 0.2107 0.5967 0.1924  1 H 1.99
Sc 0.2893 0.3076 0.9033  1 H 1.99
Sc 0.2893 0.4817 0.3859  1 H 1.99
Sc 0.3076 0.9033 0.2893  1 H 1.99
Sc 0.3076 0.9042 0.0183  1 H 1.99
Sc 0.3859 0.2893 0.4817  1 H 1.99
Sc 0.3859 0.5967 0.9042  1 H 1.99
Sc 0.4033 0.0958 0.6141  1 H 1.99
Sc 0.4033 0.8076 0.7893  1 H 1.99
Sc 0.4042 0.0967 0.8859  1 H 1.99
Sc 0.4042 0.8076 0.5183  1 H 1.99
Sc 0.4817 0.3859 0.2893  1 H 1.99
Sc 0.4817 0.5958 0.1924  1 H 1.99
Sc 0.5183 0.4042 0.8076  1 H 1.99
Sc 0.5183 0.6141 0.7107  1 H 1.99
Sc 0.5958 0.1924 0.4817  1 H 1.99
Sc 0.5958 0.9033 0.1141  1 H 1.99
Sc 0.5967 0.1924 0.2107  1 H 1.99
Sc 0.5967 0.9042 0.3859  1 H 1.99
Sc 0.6141 0.4033 0.0958  1 H 1.99
Sc 0.6141 0.7107 0.5183  1 H 1.99
Sc 0.6924 0.0958 0.9817  1 H 1.99
Sc 0.6924 0.0967 0.7107  1 H 1.99
Sc 0.7107 0.5183 0.6141  1 H 1.99
Sc 0.7107 0.6924 0.0967  1 H 1.99
Sc 0.7893 0.4033 0.8076  1 H 1.99
Sc 0.7893 0.8859 0.9817  1 H 1.99
Sc 0.8076 0.5183 0.4042  1 H 1.99
Sc 0.8076 0.7893 0.4033  1 H 1.99
Sc 0.8859 0.4042 0.0967  1 H 1.99
Sc 0.8859 0.9817 0.7893  1 H 1.99
Sc 0.9033 0.1141 0.5958  1 H 1.99
Sc 0.9033 0.2893 0.3076  1 H 1.99
Sc 0.9042 0.0183 0.3076  1 H 1.99
Sc 0.9042 0.3859 0.5967  1 H 1.99
Sc 0.9817 0.6924 0.0958  1 H 1.99
Sc 0.9817 0.7893 0.8859  1 H 1.99
H 0.0000 0.0000 0.0000  6 Sc 2.37
H 0.0000 0.0000 0.5000  6 Sc 2.37
H 0.0000 0.5000 0.0000  6 Sc 2.37
H 0.0000 0.5000 0.5000  6 Sc 2.37
H 0.1250 0.7500 0.8750  4 Sc 1.99
H 0.1250 0.8750 0.2500  4 Sc 1.99
H 0.2500 0.1250 0.8750  4 Sc 1.99
H 0.2500 0.6250 0.3750  4 Sc 1.99
H 0.3750 0.2500 0.6250  4 Sc 1.99
H 0.3750 0.6250 0.7500  4 Sc 1.99
H 0.5000 0.0000 0.0000  6 Sc 2.37
H 0.5000 0.0000 0.5000  6 Sc 2.37
H 0.5000 0.5000 0.0000  6 Sc 2.37
H 0.5000 0.5000 0.5000  6 Sc 2.37
H 0.6250 0.3750 0.2500  4 Sc 1.99
H 0.6250 0.7500 0.3750  4 Sc 1.99
H 0.7500 0.3750 0.6250  4 Sc 1.99
H 0.7500 0.8750 0.1250  4 Sc 1.99
H 0.8750 0.1250 0.7500  4 Sc 1.99
H 0.8750 0.2500 0.1250  4 Sc 1.99
Pd 0.1250 0.2500 0.3750  8 Sc 2.79-2.80
Pd 0.1250 0.3750 0.7500  8 Sc 2.79-2.80
Pd 0.2500 0.3750 0.1250  8 Sc 2.79-2.80
Pd 0.2500 0.8750 0.6250  8 Sc 2.79-2.80
Pd 0.3750 0.1250 0.2500  8 Sc 2.79-2.80
Pd 0.3750 0.7500 0.1250  8 Sc 2.79-2.80
Pd 0.6250 0.2500 0.8750  8 Sc 2.79-2.80
Pd 0.6250 0.8750 0.7500  8 Sc 2.79-2.80
Pd 0.7500 0.1250 0.3750  8 Sc 2.79-2.80
Pd 0.7500 0.6250 0.8750  8 Sc 2.79-2.80
Pd 0.8750 0.6250 0.2500  8 Sc 2.79-2.80
Pd 0.8750 0.7500 0.6250  8 Sc 2.79-2.80

Properties
Total energy in eV/atom: -5.827
ρ in Mg/m³: 4.13



No. 2
This record from Alexandria via LeMat-Bulk describes a relaxed structure of ScHPd. The functional is PBE.

Unit cell a=3.5756 b=4.0310 c=6.0637 alpha=90.00 beta=106.86 gamma=90.00
With the nearest neighbours (Å) after each atom.
Positions (direct):
Sc 0.1623 0.2500 0.3216  2 H 2.08
Sc 0.8377 0.7500 0.6784  2 H 2.08
H 0.4280 0.7500 0.8623  3 Pd 1.88-2.03, 2 Sc 2.08
H 0.5720 0.2500 0.1377  3 Pd 1.88-2.03, 2 Sc 2.08
Pd 0.4052 0.2500 0.8143  3 H 1.88-2.03
Pd 0.5948 0.7500 0.1857  3 H 1.88-2.03

Properties
Distance to the lowest polymorph of the same formula in meV per atom: 193
ρ in Mg/m³: 6.05



No. 3
This record from Alexandria via LeMat-Bulk describes a relaxed structure of ScH5Pd4. The functional is PBE.

Unit cell a=8.0691 b=8.0691 c=4.4682 alpha=97.85 beta=97.85 gamma=20.68
With the nearest neighbours (Å) after each atom.
Positions (direct):
Sc 0.0000 0.0000 0.0000  2 H 2.23
H 0.0000 0.0000 0.5000  4 Pd 1.99
H 0.3163 0.3163 0.1658  3 Pd 1.84-1.88
H 0.3213 0.3213 0.6673  3 Pd 1.83
H 0.6787 0.6787 0.3327  3 Pd 1.83
H 0.6837 0.6837 0.8342  3 Pd 1.84-1.88
Pd 0.1727 0.1727 0.0813  4 H 1.83-1.84
Pd 0.4129 0.4129 0.4616  4 H 1.83-1.99
Pd 0.5871 0.5871 0.5384  4 H 1.83-1.99
Pd 0.8273 0.8273 0.9187  4 H 1.83-1.84

Properties
Distance to the lowest polymorph of the same formula in meV per atom: 0
ρ in Mg/m³: 7.76



No. 4
This record from Alexandria via LeMat-Bulk describes a relaxed structure of Sc2TcHPd. The functional is PBE.

Unit cell a=4.6032 b=4.6032 c=3.4390 alpha=90.00 beta=90.00 gamma=90.00
With the nearest neighbours (Å) after each atom.
Positions (direct):
Sc 0.0000 0.5000 0.0000  2 H 2.30
Sc 0.5000 0.0000 0.0000  2 H 2.30
Tc 0.0000 0.0000 0.5000  2 H 1.72
H 0.0000 0.0000 0.0000  2 Tc 1.72
Pd 0.5000 0.5000 0.5000  8 Sc 2.87

Properties
Total energy in eV/atom: -6.871
ρ in Mg/m³: 6.73